VASP calculation (PBE) on a relaxed KBe2Zn crystal.

Summary:
For the formation energy, the calculation gives 0.829 eV per atom.

Lattice parameters (Å, degrees): 5.978 5.978 5.978 154.82 124.03 62.31
Atoms (fractional coordinates):
1 K 0.000 0.000 0.000
2 Be 0.305 0.805 0.500
3 Be 0.695 0.195 0.500
4 Zn 0.500 0.500 0.000

***

VASP calculation (PBE) on a relaxed Nd2GaW crystal.

Summary:
For the formation energy, the calculation gives 0.703 eV per atom.

Lattice parameters (Å, degrees): 11.282 11.282 11.282 16.10 16.10 16.10
Atoms (fractional coordinates):
1 Nd 0.087 0.087 0.087
2 Nd 0.913 0.913 0.913
3 Ga 0.500 0.500 0.500
4 W 0.000 0.000 0.000

***

VASP calculation (PBE) on a relaxed Rb5CdBr8 crystal.

Summary:
The relative energy among the computed polymorphs comes out at 0.0 meV/atom.

Lattice parameters (Å, degrees): 9.034 9.034 9.034 112.68 112.68 103.23
Atoms (fractional coordinates):
1 Rb 0.000 0.000 0.000
2 Rb 0.120 0.245 0.604
3 Rb 0.484 0.880 0.126
4 Rb 0.642 0.516 0.396
5 Rb 0.755 0.358 0.874
6 Cd 0.250 0.750 0.500
7 Br 0.019 0.606 0.775
8 Br 0.245 0.548 0.184
9 Br 0.364 0.061 0.816
10 Br 0.394 0.170 0.413
11 Br 0.452 0.636 0.697
12 Br 0.757 0.981 0.587
13 Br 0.830 0.243 0.225
14 Br 0.939 0.755 0.303

***

VASP calculation (PBE) on a relaxed Mg4SnPb2 crystal.

Summary:
For the formation energy, the calculation gives 0.265 eV per atom. The relative energy among the computed polymorphs comes out at 296.8 meV/atom.

Lattice parameters (Å, degrees): 8.486 8.486 8.486 142.92 142.92 53.45
Atoms (fractional coordinates):
1 Mg 0.000 0.500 0.500
2 Mg 0.187 0.187 0.000
3 Mg 0.500 0.000 0.500
4 Mg 0.813 0.813 0.000
5 Sn 0.000 0.000 0.000
6 Pb 0.379 0.379 0.000
7 Pb 0.621 0.621 0.000

***

VASP calculation (PBE) on a relaxed SrZn2Cl crystal.

Summary:
The relative energy among the computed polymorphs comes out at 483.7 meV/atom.

Lattice parameters (Å, degrees): 8.579 8.579 8.579 26.88 26.88 26.88
Atoms (fractional coordinates):
1 Sr 0.000 0.000 0.000
2 Zn 0.238 0.238 0.238
3 Zn 0.762 0.762 0.762
4 Cl 0.500 0.500 0.500

***

VASP calculation (PBE) on a relaxed ZrAg2F5 crystal.

Summary:
The energy is -0.196 Ha/atom.

Lattice parameters (Å, degrees): 5.648 5.648 15.550 90.00 90.00 136.89
Atoms (fractional coordinates):
1 Zr 0.085 0.915 0.750
2 Zr 0.915 0.085 0.250
3 Ag 0.224 0.776 0.058
4 Ag 0.224 0.776 0.442
5 Ag 0.776 0.224 0.558
6 Ag 0.776 0.224 0.942
7 F 0.047 0.953 0.157
8 F 0.047 0.953 0.343
9 F 0.221 0.779 0.657
10 F 0.221 0.779 0.843
11 F 0.409 0.591 0.250
12 F 0.591 0.409 0.750
13 F 0.779 0.221 0.157
14 F 0.779 0.221 0.343
15 F 0.953 0.047 0.657
16 F 0.953 0.047 0.843

***

Across the entries above, total magnetic moment takes the values 0.00, 0.00, 1.26, 0.00, 0.00, 0.00 μB per cell, respectively.
Across the entries above, volume takes the values 18.69, 24.07, 40.19, 31.54, 28.46, 21.18 A^3/atom, respectively.